# Li2NiH8C2O10 GGA-PBEsol relaxed
# - VASP energy (hartree per atom) = -0.219
# - spin magnetization (μB/atom) = 0.08
data_Li2NiH8C2O10
_chemical_formula_sum 'Li4 Ni2 H16 C4 O20'
_space_group_name_H-M_alt 'P 1 21/c 1'
_space_group_IT_number 14
_space_group_name_Hall '-P 2ybc'
_cell_length_a 5.846
_cell_length_b 5.650
_cell_length_c 12.036
_cell_angle_alpha 90.00
_cell_angle_beta 109.82
_cell_angle_gamma 90.00
loop_
_atom_site_label
_atom_site_type_symbol
_atom_site_fract_x
_atom_site_fract_y
_atom_site_fract_z
Li1 Li 0.242 0.249 0.146
Ni1 Ni 0.500 0.000 0.500
H1 H 0.043 0.097 0.401
H2 H 0.172 0.161 0.933
H3 H 0.255 0.678 0.508
H4 H 0.323 0.695 0.138
C1 C 0.232 0.652 0.313
O1 O 0.096 0.603 0.376
O2 O 0.174 0.176 0.468
O3 O 0.193 0.547 0.213
O4 O 0.394 0.728 0.581
O5 O 0.407 0.697 0.848